Entry 1:
Compound: YBi
Source: Alexandria via LeMat-Bulk
Functional: PBE
Structure: optimized geometry

Cell lengths 10.642, 10.642, 6.245 Å; angles 90.00, 90.00, 90.00 degrees
Space group I4/m (No. 87)
Inequivalent atoms, fractional coordinates:
Y: 0.138 0.358 0.000 [8 per cell]
Bi: 0.150 0.343 0.500 [8 per cell]

Results
- Total magnetization: 0.00 Bohr magnetons per cell
- ΔH_f (0 K): -61.6 kJ per mole of atoms

=====

Entry 2:
Compound: TiTeN2F
Source: Alexandria via LeMat-Bulk
Functional: PBE
Structure: optimized geometry

Cell lengths 3.805, 3.805, 5.814 Å; angles 90.00, 90.00, 90.00 degrees
Space group P4/mmm (No. 123)
Inequivalent atoms, fractional coordinates:
Ti: 0.000 0.000 0.000 [1 per cell]
Te: 0.000 0.000 0.500 [1 per cell]
N: 0.000 0.500 0.000 [2 per cell]
F: 0.500 0.500 0.500 [1 per cell]

Results
- Total magnetization: 0.00 Bohr magnetons per cell
- VASP energy: -28.939 eV/cell

=====

Entry 3:
Compound: Cs2HfBr4F2
Source: Alexandria via LeMat-Bulk
Functional: PBE
Structure: optimized geometry

Cell lengths 12.531, 7.922, 6.307 Å; angles 90.00, 104.13, 90.00 degrees
Space group C2/m (No. 12)
Inequivalent atoms, fractional coordinates:
Cs: 0.175 0.000 0.333 [4 per cell]
Hf: 0.000 0.500 0.000 [2 per cell]
Br: 0.092 0.260 0.811 [8 per cell]
F: 0.130 0.500 0.250 [4 per cell]

Results
- Total magnetization: 0.00 Bohr magnetons per cell
- VASP energy: -84.996 eV/cell

=====

Entry 4:
Compound: YV3Ag
Source: Alexandria via LeMat-Bulk
Functional: PBE
Structure: optimized geometry

Cell lengths 4.925, 4.925, 4.925 Å; angles 90.00, 90.00, 90.00 degrees
Space group Pm-3m (No. 221)
Inequivalent atoms, fractional coordinates:
Y: 0.000 0.000 0.000 [1 per cell]
V: 0.000 0.500 0.500 [3 per cell]
Ag: 0.500 0.500 0.500 [1 per cell]

Results
- Total magnetization: 9.04 Bohr magnetons per cell
- ΔH_f (0 K): 126.2 kJ per mole of atoms